Entry 1:
# BaCa2Au

A geometry-optimized BaCa2Au structure (PBE, the Alexandria database).

Geometry as extended XYZ:
```
4
Lattice="3.915 0.000 0.000 0.000 3.928 0.000 -0.027 0.000 9.649" Properties=species:S:1:pos:R:3 pbc="T T T"
Ba 0.000 0.000 0.000
Ca -0.006 0.000 3.593
Ca 1.945 1.964 6.357
Au 1.954 1.964 2.123
```

The value obtained for the excess energy over the best structure of this formula in the dataset is 65 meV per atom. The total magnetization is 0.000 μB per formula unit. Its space group is No. 6.


Entry 2:
# Sc2AgSb

A geometry-optimized Sc2AgSb structure (PBE, the Alexandria database).

Geometry as extended XYZ:
```
4
Lattice="0.000 3.540 3.540 3.540 0.000 3.540 3.540 3.540 0.000" Properties=species:S:1:pos:R:3 pbc="T T T"
Sc 0.000 0.000 0.000
Sc 1.770 1.770 1.770
Ag 3.540 3.540 3.540
Sb 5.311 5.311 5.311
```

The total magnetization is 0.851 μB per formula unit. Its space group is No. 216. The value obtained for the energy relative to the elements, uncorrected is -0.04 eV per atom.


Entry 3:
# PuNp6

A geometry-optimized PuNp6 structure (PBE, the Alexandria database).

Geometry as extended XYZ:
```
7
Lattice="-3.415 3.415 3.415 3.415 -3.415 3.415 3.415 3.415 -3.415" Properties=species:S:1:pos:R:3 pbc="T T T"
Pu 0.000 0.000 0.000
Np 3.415 1.707 0.000
Np 3.415 0.000 1.707
Np 1.707 3.415 0.000
Np 1.707 0.000 3.415
Np 0.000 3.415 1.707
Np 0.000 1.707 3.415
```

The total energy comes out at -12.68 eV per atom. The total magnetization is 5.577 μB per formula unit. Its space group is No. 229.


Entry 4:
# TbYAgGe

A geometry-optimized TbYAgGe structure (PBE, the Alexandria database).

Geometry as extended XYZ:
```
4
Lattice="0.000 3.604 3.604 3.604 0.000 3.604 3.604 3.604 0.000" Properties=species:S:1:pos:R:3 pbc="T T T"
Tb 0.000 0.000 0.000
Y 3.604 3.604 3.604
Ag 5.405 5.405 5.405
Ge 1.802 1.802 1.802
```

The total energy comes out at -5.18 eV per atom. The total magnetization is 0.000 μB per formula unit. Its space group is No. 216.


Entry 5:
# SrCr3Ru

A geometry-optimized SrCr3Ru structure (PBE, the Alexandria database).

Geometry as extended XYZ:
```
5
Lattice="4.825 0.000 0.000 0.000 4.825 0.000 0.000 0.000 4.825" Properties=species:S:1:pos:R:3 pbc="T T T"
Sr 0.000 0.000 0.000
Cr 0.000 2.412 2.412
Cr 2.412 0.000 2.412
Cr 2.412 2.412 0.000
Ru 2.412 2.412 2.412
```

The value obtained for the excess energy over the best structure of this formula in the dataset is 0 meV per atom. The total magnetization is 9.914 μB per formula unit. Its space group is No. 221.


Entry 6:
# Sr2LaBr

A geometry-optimized Sr2LaBr structure (PBE, the Alexandria database).

Geometry as extended XYZ:
```
4
Lattice="4.067 0.000 0.000 0.000 6.020 0.000 0.000 0.000 6.725" Properties=species:S:1:pos:R:3 pbc="T T T"
Sr 0.000 0.000 0.000
Sr 2.034 0.000 3.362
La 0.000 3.010 3.362
Br 2.034 3.010 0.000
```

The total magnetization is 0.001 μB per formula unit. Its space group is No. 47. The value obtained for the energy relative to the elements, uncorrected is -0.26 eV per atom.


Entry 7:
# Tb5SmEr5

A geometry-optimized Tb5SmEr5 structure (PBE, the Alexandria database).

Geometry as extended XYZ:
```
11
Lattice="6.824 0.000 0.000 2.066 6.635 0.000 1.884 1.462 7.926" Properties=species:S:1:pos:R:3 pbc="T T T"
Tb 0.000 0.000 0.000
Tb 2.010 1.396 2.837
Tb 3.982 2.735 5.198
Tb 6.791 5.362 2.728
Tb 8.764 6.701 5.088
Sm 1.033 3.317 0.000
Er 3.359 4.695 2.495
Er 5.314 6.029 5.674
Er 3.412 0.000 0.000
Er 5.460 2.067 2.252
Er 7.415 3.402 5.431
```

The value obtained for the excess energy over the best structure of this formula in the dataset is 0 meV per atom. The total magnetization is 0.000 μB per formula unit. Its space group is No. 2.


Entry 8:
# PPtSe3

A geometry-optimized PPtSe3 structure (PBE, the Alexandria database).

Geometry as extended XYZ:
```
5
Lattice="4.925 0.000 0.000 0.000 4.925 0.000 0.000 0.000 4.925" Properties=species:S:1:pos:R:3 pbc="T T T"
P 0.000 0.000 0.000
Pt 2.462 2.462 2.462
Se 0.000 2.462 2.462
Se 2.462 0.000 2.462
Se 2.462 2.462 0.000
```

The value obtained for the excess energy over the best structure of this formula in the dataset is 0 meV per atom. The total magnetization is 0.000 μB per formula unit. Its space group is No. 221. The value obtained for the energy relative to the elements, uncorrected is 0.83 eV per atom.